No. 1
Computed, not measured: an optimized crystal structure of Tc2AgW at the PBE level of DFT.

## Properties
ρ, g cm⁻³: 12.86
Crystal system: orthorhombic
Offset from the most stable computed form, meV/atom: 67
ΔE_f, eV per formula unit: 1.445
D(E_F), states/eV per atom: 0.7961
V, A^3/atom: 15.7

a b c (Å): 2.805 3.970 5.654
angles (deg): 90.00 90.00 90.00
Space group Pmm2 (No. 25)
Inequivalent atoms, fractional coordinates:
Tc  0.000  0.000  0.000 x1
Tc  0.500  0.500  0.212 x1
Ag  0.500  0.500  0.721 x1
W  0.000  0.000  0.444 x1

***

No. 2
Computed, not measured: an optimized crystal structure of CsLiSbPb at the PBE level of DFT.

## Properties
ρ, g cm⁻³: 4.96
Crystal system: monoclinic
Formation energy (no corrections), eV/atom: -0.28
D(E_F), states/eV per atom: 0.5455
V, A^3/atom: 39.3

a b c (Å): 9.034 4.725 7.915
angles (deg): 90.00 111.61 90.00
Space group Cm (No. 8)
Inequivalent atoms, fractional coordinates:
Cs  0.000  0.000  0.000 x2
Li  0.211  0.000  0.589 x2
Sb  0.041  0.500  0.605 x2
Pb  0.314  0.500  0.408 x2

***

No. 3
Computed, not measured: an optimized crystal structure of AcGa2Rh3 at the PBE level of DFT.

## Properties
ρ, g cm⁻³: 10.16
Crystal system: hexagonal
ΔE_f, eV per formula unit: -4.880
D(E_F), states/eV per atom: 0.5993
V, A^3/atom: 18.4

a b c (Å): 5.7582 5.7582 3.8423
angles (deg): 90.00 90.00 120.00
Space group P6/mmm (No. 191)
Inequivalent atoms, fractional coordinates:
Ac  0.0000  0.0000  0.0000 x1
Ga  0.3333  0.6667  0.0000 x2
Rh  0.0000  0.5000  0.5000 x3

***

No. 4
Computed, not measured: an optimized crystal structure of Hf2SnHgCl at the PBE level of DFT.

## Properties
ρ, g cm⁻³: 8.19
Crystal system: tetragonal
Formation energy (no corrections), eV/atom: 0.96
D(E_F), states/eV per atom: 0.7805
V, A^3/atom: 28.8

a b c (Å): 5.388 5.388 4.968
angles (deg): 90.00 90.00 90.00
Space group P4/mmm (No. 123)
Inequivalent atoms, fractional coordinates:
Hf  0.000  0.500  0.000 x2
Sn  0.000  0.000  0.500 x1
Hg  0.500  0.500  0.000 x1
Cl  0.500  0.500  0.500 x1

***

No. 5
Computed, not measured: an optimized crystal structure of TcAgPt6 at the PBE level of DFT.

## Properties
ρ, g cm⁻³: 18.26
Crystal system: tetragonal
ΔE_f, eV per formula unit: -0.458
D(E_F), states/eV per atom: 1.3168
V, A^3/atom: 15.6

a b c (Å): 3.980 3.980 7.904
angles (deg): 90.00 90.00 90.00
Space group P4/mmm (No. 123)
Inequivalent atoms, fractional coordinates:
Tc  0.000  0.000  0.000 x1
Ag  0.000  0.000  0.500 x1
Pt  0.000  0.500  0.240 x4
Pt  0.500  0.500  0.000 x1
Pt  0.500  0.500  0.500 x1

***

No. 6
Computed, not measured: an optimized crystal structure of Ba2HgB at the PBE level of DFT.

## Properties
ρ, g cm⁻³: 6.35
Crystal system: cubic
Offset from the most stable computed form, meV/atom: 0
ΔE_f, eV per formula unit: 1.363
D(E_F), states/eV per atom: 0.9575
V, A^3/atom: 31.8

a b c (Å): 7.982 7.982 7.982
angles (deg): 90.00 90.00 90.00
Space group Fm-3m (No. 225)
Inequivalent atoms, fractional coordinates:
Ba  0.250  0.250  0.250 x8
Hg  0.000  0.000  0.000 x4
B  0.000  0.000  0.500 x4

***

No. 7
Computed, not measured: an optimized crystal structure of Ac2ZnSn4Ru3 at the PBE level of DFT.

## Properties
ρ, g cm⁻³: 9.19
Crystal system: tetragonal
ΔE_f, eV per formula unit: -3.101
D(E_F), states/eV per atom: 0.9688
V, A^3/atom: 23.4

a b c (Å): 4.577 4.577 11.184
angles (deg): 90.00 90.00 90.00
Space group P-4m2 (No. 115)
Inequivalent atoms, fractional coordinates:
Ac  0.000  0.500  0.247 x2
Zn  0.000  0.000  0.500 x1
Sn  0.000  0.000  0.000 x1
Sn  0.000  0.500  0.632 x2
Sn  0.500  0.500  0.000 x1
Ru  0.000  0.500  0.871 x2
Ru  0.500  0.500  0.500 x1

***

No. 8
Computed, not measured: an optimized crystal structure of DyPd5Pt4 at the PBE level of DFT.

## Properties
ρ, g cm⁻³: 13.87
Crystal system: orthorhombic
ΔE_f, eV per formula unit: -2.371
D(E_F), states/eV per atom: 1.3402
V, A^3/atom: 17.7

a b c (Å): 7.998 9.585 4.608
angles (deg): 90.00 90.00 90.00
Space group Pmmn (No. 59, origin choice 2)
Inequivalent atoms, fractional coordinates:
Dy  0.250  0.250  0.150 x2
Pd  0.080  0.512  0.751 x8
Pd  0.250  0.750  0.815 x2
Pt  0.004  0.750  0.364 x4
Pt  0.250  0.561  0.255 x4

***

No. 9
Computed, not measured: an optimized crystal structure of DyY4Tm at the PBE level of DFT.

## Properties
ρ, g cm⁻³: 6.00
Crystal system: monoclinic
Offset from the most stable computed form, meV/atom: 0
ΔE_f, eV per formula unit: 0.159
D(E_F), states/eV per atom: 1.4843
V, A^3/atom: 31.7

a b c (Å): 11.253 5.010 7.111
angles (deg): 90.00 108.50 90.00
Space group C2/m (No. 12)
Inequivalent atoms, fractional coordinates:
Dy  0.000  0.000  0.000 x2
Y  0.166  0.500  0.333 x4
Y  0.166  0.500  0.833 x4
Tm  0.000  0.000  0.500 x2

***

No. 10
Computed, not measured: an optimized crystal structure of As2PbCl at the PBE level of DFT.

## Properties
ρ, g cm⁻³: 6.27
Crystal system: orthorhombic
Formation energy (no corrections), eV/atom: 0.05
D(E_F), states/eV per atom: 0.3360
V, A^3/atom: 26.0

a b c (Å): 3.121 5.737 5.808
angles (deg): 90.00 90.00 90.00
Space group Pmmm (No. 47)
Inequivalent atoms, fractional coordinates:
As  0.000  0.000  0.206 x2
Pb  0.500  0.500  0.000 x1
Cl  0.500  0.500  0.500 x1

***

No. 11
Computed, not measured: an optimized crystal structure of CeAuSe2 at the PBE level of DFT.

## Properties
ρ, g cm⁻³: 7.14
Crystal system: trigonal
Formation energy (no corrections), eV/atom: -0.10
D(E_F), states/eV per atom: 1.9237
V, A^3/atom: 28.8

a b c (Å): 3.9609 3.9609 25.4073
angles (deg): 90.00 90.00 120.00
Space group R-3m (No. 166, hexagonal axes)
Inequivalent atoms, fractional coordinates:
Ce  0.0000  0.0000  0.0000 x3
Au  0.0000  0.0000  0.5000 x3
Se  0.0000  0.0000  0.1100 x6

***

No. 12
Computed, not measured: an optimized crystal structure of DyZnPt3 at the PBE level of DFT.

## Properties
ρ, g cm⁻³: 13.53
Crystal system: orthorhombic
ΔE_f, eV per formula unit: -2.162
D(E_F), states/eV per atom: 0.5009
V, A^3/atom: 20.0

a b c (Å): 5.759 6.911 5.017
angles (deg): 90.00 90.00 90.00
Space group Pbam (No. 55)
Inequivalent atoms, fractional coordinates:
Dy  0.000  0.000  0.000 x2
Zn  0.000  0.500  0.500 x2
Pt  0.000  0.500  0.000 x2
Pt  0.128  0.167  0.500 x4

***

No. 13
Computed, not measured: an optimized crystal structure of RbCa2U2O7 at the PBE level of DFT.

## Properties
ρ, g cm⁻³: 6.35
Crystal system: tetragonal
Formation energy (no corrections), eV/atom: -2.96
D(E_F), states/eV per atom: 0.6261
V, A^3/atom: 16.4

a b c (Å): 4.494 4.494 19.514
angles (deg): 90.00 90.00 90.00
Space group I4/mmm (No. 139)
Inequivalent atoms, fractional coordinates:
Rb  0.000  0.000  0.000 x2
Ca  0.000  0.500  0.250 x4
U  0.000  0.000  0.389 x4
O  0.000  0.000  0.276 x4
O  0.000  0.000  0.500 x2
O  0.000  0.500  0.123 x8

***

No. 14
Computed, not measured: an optimized crystal structure of YTl2AgI at the PBE level of DFT.

## Properties
ρ, g cm⁻³: 7.22
Crystal system: tetragonal
Formation energy (no corrections), eV/atom: 0.30
D(E_F), states/eV per atom: 0.9459
V, A^3/atom: 33.7

a b c (Å): 5.441 5.441 5.692
angles (deg): 90.00 90.00 90.00
Space group P4/mmm (No. 123)
Inequivalent atoms, fractional coordinates:
Y  0.000  0.000  0.000 x1
Tl  0.000  0.500  0.500 x2
Ag  0.500  0.500  0.500 x1
I  0.500  0.500  0.000 x1

***

No. 15
Computed, not measured: an optimized crystal structure of YMn4Pb at the PBE level of DFT.

## Properties
ρ, g cm⁻³: 8.71
Crystal system: cubic
ΔE_f, eV per formula unit: 1.553
D(E_F), states/eV per atom: 1.5376
V, A^3/atom: 16.4

a b c (Å): 7.327 7.327 7.327
angles (deg): 90.00 90.00 90.00
Space group F-43m (No. 216)
Inequivalent atoms, fractional coordinates:
Y  0.000  0.000  0.000 x4
Mn  0.126  0.126  0.626 x16
Pb  0.250  0.250  0.250 x4

***

No. 16
Computed, not measured: an optimized crystal structure of K2CdGa3Au4 at the PBE level of DFT.

## Properties
ρ, g cm⁻³: 8.27
Crystal system: tetragonal
ΔE_f, eV per formula unit: -3.064
D(E_F), states/eV per atom: 0.3634
V, A^3/atom: 23.8

a b c (Å): 4.752 4.752 10.561
angles (deg): 90.00 90.00 90.00
Space group P-4m2 (No. 115)
Inequivalent atoms, fractional coordinates:
K  0.000  0.500  0.244 x2
Cd  0.000  0.000  0.500 x1
Ga  0.000  0.500  0.889 x2
Ga  0.500  0.500  0.500 x1
Au  0.000  0.000  0.000 x1
Au  0.000  0.500  0.641 x2
Au  0.500  0.500  0.000 x1

***

No. 17
Computed, not measured: an optimized crystal structure of Er4TmPd4 at the PBE level of DFT.

## Properties
ρ, g cm⁻³: 9.29
Crystal system: tetragonal
ΔE_f, eV per formula unit: -6.266
D(E_F), states/eV per atom: 0.7430
V, A^3/atom: 25.1

a b c (Å): 8.885 8.885 5.723
angles (deg): 90.00 90.00 90.00
Space group P4_2/n (No. 86, origin choice 2)
Inequivalent atoms, fractional coordinates:
Er  0.070  0.660  0.159 x8
Tm  0.250  0.250  0.250 x2
Pd  0.030  0.627  0.656 x8

***

No. 18
Computed, not measured: an optimized crystal structure of RhWBr at the PBE level of DFT.

## Properties
ρ, g cm⁻³: 12.34
Crystal system: trigonal
Formation energy (no corrections), eV/atom: 0.81
Offset from the most stable computed form, meV/atom: 409
D(E_F), states/eV per atom: 1.0263
V, A^3/atom: 16.4

a b c (Å): 4.3958 4.3958 2.9480
angles (deg): 90.00 90.00 120.00
Space group P3m1 (No. 156)
Inequivalent atoms, fractional coordinates:
Rh  0.0000  0.0000  0.0000 x1
W  0.3333  0.6667  0.5010 x1
Br  0.6667  0.3333  0.4974 x1

***

No. 19
Computed, not measured: an optimized crystal structure of ScRe2Ir at the PBE level of DFT.

## Properties
ρ, g cm⁻³: 15.84
Crystal system: orthorhombic
Offset from the most stable computed form, meV/atom: 123
ΔE_f, eV per formula unit: -0.102
D(E_F), states/eV per atom: 1.0483
V, A^3/atom: 16.0

a b c (Å): 3.127 4.581 8.919
angles (deg): 90.00 90.00 90.00
Space group Imm2 (No. 44)
Inequivalent atoms, fractional coordinates:
Sc  0.000  0.000  0.000 x2
Re  0.000  0.000  0.490 x2
Re  0.000  0.500  0.763 x2
Ir  0.000  0.500  0.237 x2

***

No. 20
Computed, not measured: an optimized crystal structure of Ni2SbRu at the PBE level of DFT.

## Properties
ρ, g cm⁻³: 9.95
Crystal system: orthorhombic
Formation energy (no corrections), eV/atom: 0.16
D(E_F), states/eV per atom: 1.4923
V, A^3/atom: 14.2

a b c (Å): 3.128 4.302 8.443
angles (deg): 90.00 90.00 90.00
Space group Immm (No. 71)
Inequivalent atoms, fractional coordinates:
Ni  0.000  0.000  0.238 x4
Sb  0.000  0.500  0.500 x2
Ru  0.000  0.500  0.000 x2

***

no.,E_tot (eV/cell)
1,-35.09
2,-23.41
3,-37.10
4,-21.27
5,-49.92
6,-37.85
7,-56.43
8,-114.20
9,-69.54
10,-14.65
11,-49.76
12,-52.32
13,-195.62
14,-14.09
15,-181.19
16,-28.36
17,-99.52
18,-19.54
19,-80.38
20,-48.66